Record 1
A relaxed structure of Na2TbO3, computed with PBE.

Computed properties:
Formation energy without anion corrections = -2.096 eV/atom
DOS(E_F) = 17.12 states/eV per cell
E_tot = -34.7 eV per formula unit

a = 5.856 Å, b = 5.936 Å, c = 8.913 Å
α = 70.67°, β = 72.50°, γ = 61.59°
Positions (direct):
O (0.767, 0.443, 0.171)
O (0.720, 0.644, 0.493)
O (0.137, 0.727, 0.162)
O (0.583, 0.848, 0.831)
O (0.233, 0.557, 0.829)
O (0.417, 0.152, 0.169)
O (0.863, 0.273, 0.838)
O (0.000, 0.000, 0.500)
O (0.280, 0.356, 0.507)
Na (0.719, 0.049, 0.333)
Na (0.825, 0.850, 0.000)
Na (0.391, 0.726, 0.334)
Na (0.281, 0.951, 0.667)
Na (0.609, 0.274, 0.666)
Na (0.175, 0.150, 0.000)
Tb (0.500, 0.500, 0.000)
Tb (0.955, 0.626, 0.667)
Tb (0.045, 0.374, 0.333)

---

Record 2
A relaxed structure of SrCaReH2, computed with PBE.

Computed properties:
DOS(E_F) = 3.66 states/eV per cell
E_tot = -17.9 eV per formula unit

a = 4.464 Å, b = 6.167 Å, c = 4.464 Å
α = 90.00°, β = 90.00°, γ = 90.00°
Positions (direct):
H (0.500, 0.000, 0.000)
H (0.000, 0.000, 0.500)
Ca (0.500, 0.500, 0.500)
Re (0.000, 0.500, 0.000)
Sr (0.000, 0.000, 0.000)

---

What is the E_tot in the first record? -34.7 eV per formula unit

---

Which value of DOS(E_F) does entry 1 give? 17.12 states/eV per cell

---

Repeat the second record exactly.
A relaxed structure of SrCaReH2, computed with PBE.

Computed properties:
DOS(E_F) = 3.66 states/eV per cell
E_tot = -17.9 eV per formula unit

a = 4.464 Å, b = 6.167 Å, c = 4.464 Å
α = 90.00°, β = 90.00°, γ = 90.00°
Positions (direct):
H (0.500, 0.000, 0.000)
H (0.000, 0.000, 0.500)
Ca (0.500, 0.500, 0.500)
Re (0.000, 0.500, 0.000)
Sr (0.000, 0.000, 0.000)